[1]
Li2CrSi | meta-GGA SCAN | PBEsol geometry

```
data_Li2CrSi
_cell_length_a 3.256
_cell_length_b 3.871
_cell_length_c 8.503
_cell_angle_alpha 90.00
_cell_angle_beta 90.00
_cell_angle_gamma 90.00
_symmetry_space_group_name_H-M 'C m m 2'
_symmetry_Int_Tables_number 35
loop_
_symmetry_equiv_pos_as_xyz
'x,y,z'
'-x,-y,z'
'-x,y,z'
'x,-y,z'
'x+1/2,y+1/2,z'
'-x+1/2,-y+1/2,z'
'-x+1/2,y+1/2,z'
'x+1/2,-y+1/2,z'
loop_
_atom_site_label
_atom_site_fract_x
_atom_site_fract_y
_atom_site_fract_z
Li1 0.000 0.000 0.000
Li2 0.000 0.500 0.305
Cr1 0.000 0.500 0.749
Si1 0.000 0.000 0.542
```

Properties
Spin magnetization in μB/f.u.: 0.00
E in eV/cell: -65.40
Raw formation energy in eV/atom: 0.120



[2]
LiSi2Se | meta-GGA SCAN | PBEsol geometry

```
data_LiSi2Se
_cell_length_a 2.8814
_cell_length_b 2.8814
_cell_length_c 28.5052
_cell_angle_alpha 90.00
_cell_angle_beta 90.00
_cell_angle_gamma 120.00
_symmetry_space_group_name_H-M 'R 3 m'
_symmetry_Int_Tables_number 160
_symmetry_space_group_name_Hall 'R 3 -2"'
loop_
_atom_site_label
_atom_site_fract_x
_atom_site_fract_y
_atom_site_fract_z
Li1 0.0000 0.0000 0.0000
Si1 0.0000 0.0000 0.4785
Si2 0.0000 0.0000 0.7435
Se1 0.0000 0.0000 0.2644
```

Properties
Spin magnetization in μB/f.u.: 0.00
E in eV/cell: -125.20
Raw formation energy in eV/atom: 0.192



[3]
BeRu2Rh | meta-GGA SCAN | PBEsol geometry

```
data_BeRu2Rh
_cell_length_a 2.699
_cell_length_b 4.477
_cell_length_c 8.287
_cell_angle_alpha 90.00
_cell_angle_beta 90.00
_cell_angle_gamma 90.00
_symmetry_space_group_name_H-M 'C m m m'
_symmetry_Int_Tables_number 65
_symmetry_space_group_name_Hall '-C 2 2'
loop_
_atom_site_label
_atom_site_fract_x
_atom_site_fract_y
_atom_site_fract_z
Be1 0.000 0.000 0.000
Ru1 0.000 0.500 0.227
Rh1 0.000 0.000 0.500
```

Properties
Spin magnetization in μB/f.u.: 0.01
E in eV/cell: -213.81
Formation enthalpy at 0 K in eV/f.u.: 0.9